Entry 1:
Entry from Alexandria: Tm3As2Rh6 after structural relaxation (GGA-PBE).

Cell and atoms, written as POSCAR:
```
Tm3As2Rh6
1.0
-4.7106 1.3553 -6.3073
6.6564 -3.7093 -2.3962
-3.8615 -4.5984 5.2680
Tm As Rh
6 4 12
direct
0.7170 0.0000 0.7170
0.2830 0.0000 0.2830
0.0000 0.2830 0.2830
0.0000 0.7170 0.7170
0.2830 0.2830 0.0000
0.7170 0.7170 0.0000
0.0000 0.5000 0.0000
0.5000 0.0000 0.0000
0.0000 0.0000 0.5000
0.5000 0.5000 0.5000
0.6536 0.3072 0.6536
0.6536 0.0000 0.3464
0.3464 0.0000 0.6536
0.3464 0.6928 0.3464
0.0000 0.6536 0.3464
0.6928 0.3464 0.3464
0.3072 0.6536 0.6536
0.0000 0.3464 0.6536
0.3464 0.6536 0.0000
0.6536 0.6536 0.3072
0.3464 0.3464 0.6928
0.6536 0.3464 0.0000
```

Calculated values
calculated formation energy: -0.711 eV per atom
space group: Im-3m (229)
VASP energy: -149.29 eV for the cell shown

***

Entry 2:
Entry from Alexandria: Cr2FeP2 after structural relaxation (GGA-PBE).

Cell and atoms, written as POSCAR:
```
Cr2FeP2
1.0
-0.0886 2.9761 -4.7330
-3.4579 -3.7488 -2.2925
-2.8336 1.8644 1.2253
Cr Fe P
4 2 4
direct
0.1748 0.6748 0.5000
0.6748 0.8252 0.5000
0.8252 0.3252 0.5000
0.3252 0.1748 0.5000
0.0000 0.0000 0.0000
0.5000 0.5000 0.0000
0.3610 0.8610 0.0000
0.8610 0.6390 0.0000
0.6390 0.1390 0.0000
0.1390 0.3610 0.0000
```

Calculated values
calculated formation energy: -0.302 eV per atom
excess energy over the best structure of this formula in the dataset: 0 meV per atom
space group: P4/mbm (127)
VASP energy: -80.08 eV for the cell shown

***

Entry 3:
Entry from Alexandria: Rb2NdHoTe4 after structural relaxation (GGA-PBE).

Cell and atoms, written as POSCAR:
```
Rb2NdHoTe4
1.0
-0.8479 -0.9755 -4.3947
-5.5487 -5.2193 2.2291
-4.0683 7.9267 -0.9746
Rb Nd Ho Te
2 1 1 4
direct
0.5000 0.0000 0.5000
0.0000 0.5000 0.5000
0.5000 0.5000 0.0000
0.0000 0.0000 0.0000
0.5000 0.2257 0.1998
0.5000 0.7743 0.8002
0.0000 0.2579 0.7966
0.0000 0.7421 0.2034
```

Calculated values
space group: P2/m (10)
raw formation energy: -1.39 eV/atom
VASP energy: -34.96 eV for the cell shown

***

Entry 4:
Entry from Alexandria: Tb7Sm6Dy16 after structural relaxation (GGA-PBE).

Cell and atoms, written as POSCAR:
```
Tb7Sm6Dy16
1.0
2.1279 -3.6014 10.3394
-1.0101 -10.8342 2.4501
9.0957 -6.1354 2.0069
Tb Sm Dy
7 6 16
direct
0.0000 0.0000 0.0000
0.5000 0.0000 0.5000
0.0000 0.5000 0.0000
0.0000 0.5000 0.5000
0.5000 0.0000 0.0000
0.0000 0.0000 0.5000
0.5000 0.5000 0.0000
0.2731 0.7269 0.2731
0.7269 0.2731 0.7269
0.7269 0.2731 0.2731
0.2731 0.7269 0.7269
0.7269 0.7269 0.2731
0.2731 0.2731 0.7269
0.8744 0.8744 0.3769
0.8744 0.8744 0.8744
0.8744 0.3769 0.8744
0.3769 0.8744 0.8744
0.1256 0.1256 0.1256
0.1256 0.1256 0.6231
0.1256 0.6231 0.1256
0.6231 0.1256 0.1256
0.6512 0.6512 0.0465
0.6512 0.6512 0.6512
0.6512 0.0465 0.6512
0.0465 0.6512 0.6512
0.3488 0.3488 0.3488
0.3488 0.3488 0.9535
0.3488 0.9535 0.3488
0.9535 0.3488 0.3488
```

Calculated values
calculated formation energy: 0.240 eV per atom
space group: Fm-3m (225)
VASP energy: -127.41 eV for the cell shown